(1)
# ZnReAg2

Crystalline ZnReAg2 at its relaxed geometry (PBE-GGA, the Open Quantum Materials Database).

Computed properties:
* energy of formation: 0.706 eV/atom

a b c (Å): 4.519 4.519 4.519
angles (deg): 60.00 60.00 60.00
Last column: magnetic moment on the atom in μB.
Atoms (fractional coordinates):
Ag  0.000  0.000  0.000  0.10
Ag  0.750  0.750  0.750  0.02
Re  0.250  0.250  0.250  1.92
Zn  0.500  0.500  0.500  0.01

---

(2)
# Ag2S

Crystalline Ag2S at its relaxed geometry (PBE-GGA, the Open Quantum Materials Database).

Computed properties:
* calculated total energy: -39.55 eV/cell

a b c (Å): 4.541 4.541 12.048
angles (deg): 90.00 90.00 90.00
Atoms (fractional coordinates):
Ag  0.424  0.072  0.082
Ag  0.924  0.428  0.168
Ag  0.572  0.076  0.332
Ag  0.928  0.576  0.418
Ag  0.576  0.928  0.582
Ag  0.076  0.572  0.668
Ag  0.428  0.924  0.832
Ag  0.072  0.424  0.918
S  0.570  0.570  0.000
S  0.070  0.930  0.250
S  0.430  0.430  0.500
S  0.930  0.070  0.750

---

(3)
# AgS2

Crystalline AgS2 at its relaxed geometry (PBE-GGA, the Open Quantum Materials Database).

Computed properties:
* calculated total energy: -17.48 eV/cell

a b c (Å): 5.379 5.379 5.379
angles (deg): 60.00 60.00 60.00
Atoms (fractional coordinates):
Ag  0.000  0.000  0.000
Ag  0.250  0.250  0.250
S  0.625  0.625  0.125
S  0.625  0.125  0.625
S  0.125  0.625  0.625
S  0.625  0.625  0.625

---

So what do the calculations give for calculated volume? Going down the list: 16.3, 20.7, 18.3 Å³/atom.